Record 1
# GGA-PBE ScNi6P, optimized geometry
# * total magnetic moment: 0.000 μB/atom
# * calculated total energy: -141.8 eV for the cell shown
# * ΔH_f (0 K): -0.103 eV/atom
# * volume: 346 Å³ per cell
data_ScNi6P
_chemical_formula_sum 'Sc3 Ni18 P3'
_symmetry_space_group_name_H-M 'R -3 m'
_symmetry_Int_Tables_number 166
_symmetry_space_group_name_Hall '-R 3 2"'
_cell_length_a 5.0228
_cell_length_b 5.0228
_cell_length_c 15.8480
_cell_angle_alpha 90.00
_cell_angle_beta 90.00
_cell_angle_gamma 120.00
loop_
_atom_site_label
_atom_site_fract_x
_atom_site_fract_y
_atom_site_fract_z
_atom_site_occupancy
Sc1 0.0000 0.0000 0.0000 1
Ni1 0.0158 0.5079 0.9259 1
P1 0.0000 0.0000 0.5000 1

---

Record 2
# GGA-PBE Sc2Ni2P, optimized geometry
# * total magnetic moment: 0.000 μB/atom
# * calculated total energy: -64.5 eV for the cell shown
# * ΔH_f (0 K): -0.523 eV/atom
# * volume: 163 Å³ per cell
# * energy above the most stable polymorph in this dataset: 0.1301 eV per atom
data_Sc2Ni2P
_chemical_formula_sum 'Sc4 Ni4 P2'
_symmetry_space_group_name_H-M 'I 4/m m m'
_symmetry_Int_Tables_number 139
_symmetry_space_group_name_Hall '-I 4 2'
_cell_length_a 3.364
_cell_length_b 3.364
_cell_length_c 14.405
_cell_angle_alpha 90.00
_cell_angle_beta 90.00
_cell_angle_gamma 90.00
loop_
_atom_site_label
_atom_site_fract_x
_atom_site_fract_y
_atom_site_fract_z
_atom_site_occupancy
Sc1 0.000 0.000 0.105 1
Ni1 0.000 0.500 0.250 1
P1 0.000 0.000 0.500 1

---

Question: Among the records above, which one has the lowest ΔH_f (0 K)?
Answer: Sc2Ni2P

---

Question: Which value of volume does entry 2 give?
Answer: 163 Å³ per cell